Record 1
The following is a GGA-PBEsol calculation of SmBi3 after structural relaxation, from Alexandria.

Cell lengths 4.6321, 4.6321, 10.9465 Å; angles 90.00, 90.00, 90.00 degrees
Last column: nearest neighbours and their distance in Å.
Space group I4/mmm (No. 139)
Symmetry-distinct sites (fractional):
Sm: 0.0000 0.0000 0.0000 x2  12 Bi 3.28-3.59
Bi: 0.0000 0.0000 0.5000 x2  4 Sm 3.28, 8 Bi 3.59
Bi: 0.0000 0.5000 0.2500 x4  8 Bi 3.28-3.59, 4 Sm 3.59

E ... -4.954 eV/atom
Calculated density ... 10.99 g/cm3

Record 2
The following is a GGA-PBEsol calculation of SmBiTe3 after structural relaxation, from Alexandria.

Cell lengths 4.3572, 4.3572, 30.9204 Å; angles 90.00, 90.00, 120.00 degrees
Last column: nearest neighbours and their distance in Å.
Space group R3m (No. 160, hexagonal axes)
Symmetry-distinct sites (fractional):
Sm: 0.0000 0.0000 0.0000 x3  6 Te 3.03-3.19
Bi: 0.0000 0.0000 0.7993 x3  6 Te 3.03-3.30
Te: 0.0000 0.0000 0.1872 x3  3 Bi 3.03
Te: 0.0000 0.0000 0.3966 x3  3 Sm 3.19, 3 Bi 3.30
Te: 0.0000 0.0000 0.6121 x3  3 Sm 3.03

Energy relative to the elements, uncorrected ... -0.78 eV/atom
Calculated density ... 7.27 g/cm3